First-principles (PBE) data for crystalline LuCuAgB at its relaxed geometry, as listed in OQMD via LeMat-Bulk.

Lattice parameters (Å, degrees): 4.444 4.444 4.444 60.00 60.00 60.00
Fractional positions:
B: 0.000 0.000 0.000
Ag: 0.500 0.500 0.500
Lu: 0.250 0.250 0.250
Cu: 0.750 0.750 0.750

Properties
space-group type = No. 216
polymorph energy (0 for the lowest one) = 0 meV/atom
total DFT energy (no corrections) = -16.538 eV/cell

First-principles (PBE) data for crystalline MgCuAgB at its relaxed geometry, as listed in OQMD via LeMat-Bulk.

Lattice parameters (Å, degrees): 4.202 4.202 4.202 60.00 60.00 60.00
Fractional positions:
B: 0.000 0.000 0.000
Ag: 0.250 0.250 0.250
Mg: 0.500 0.500 0.500
Cu: 0.750 0.750 0.750

Properties
space-group type = No. 216
polymorph energy (0 for the lowest one) = 0 meV/atom
total DFT energy (no corrections) = -12.629 eV/cell

First-principles (PBE) data for crystalline CuAgBPt at its relaxed geometry, as listed in OQMD via LeMat-Bulk.

Lattice parameters (Å, degrees): 4.224 4.224 4.224 60.00 60.00 60.00
Fractional positions:
B: 0.000 0.000 0.000
Cu: 0.750 0.750 0.750
Ag: 0.500 0.500 0.500
Pt: 0.250 0.250 0.250

Properties
space-group type = No. 216
polymorph energy (0 for the lowest one) = 0 meV/atom
total DFT energy (no corrections) = -16.672 eV/cell